1.
LiGdPtPb PBE optimized geometry; SG = F-43m, No. 216; formation energy from the elements = -0.722 eV/atom; N(E_F) = 0.8 states/eV/cell
1.0
0.000 3.435 3.435
3.435 0.000 3.435
3.435 3.435 0.000
Li Gd Pt Pb
1 1 1 1
Cartesian
0.000 0.000 0.000 Li
5.152 5.152 5.152 Gd
3.435 3.435 3.435 Pt
1.717 1.717 1.717 Pb

2.
LiGdRuPb PBE optimized geometry; SG = F-43m, No. 216; formation energy from the elements = -0.208 eV/atom; N(E_F) = 3.8 states/eV/cell
1.0
0.000 3.409 3.409
3.409 0.000 3.409
3.409 3.409 0.000
Li Gd Ru Pb
1 1 1 1
Cartesian
0.000 0.000 0.000 Li
5.113 5.113 5.113 Gd
3.409 3.409 3.409 Ru
1.704 1.704 1.704 Pb

Number 2 is which compound?
LiGdRuPb

Which value of N(E_F) does entry 1 give?
0.8 states/eV/cell

Among the records above, which one has the lowest N(E_F)?
LiGdPtPb